1.
DFT (PBE) results for an optimized crystal structure of SrCd2Tc.

## Properties
Energy of formation   480 meV/atom
Electronic total energy   -2.990 eV/atom
Crystal system   orthorhombic
Size of the total moment   1.3 μB/cell
Distance to the lowest polymorph of the same formula   0.142 eV/atom

Cell lengths 6.0767, 6.0767, 6.0767 Å; angles 147.33, 128.58, 62.27 degrees
Closest atoms and distances in Å follow each position.
Positions (direct):
1 Tc 0.2310 0.7310 0.5000  2 Cd 2.78
2 Cd 0.0197 0.0197 0.0000  2 Tc 2.78
3 Cd 0.7656 0.2656 0.5000  4 Cd 3.15-3.42, 4 Tc 3.16, 4 Sr 3.40-3.48
4 Sr 0.4836 0.4836 0.0000  2 Tc 3.13, 8 Cd 3.16-3.48, 2 Sr 3.42

***

2.
DFT (PBE) results for an optimized crystal structure of HoReP.

## Properties
Energy of formation   -468 meV/atom
Electronic total energy   -7.947 eV/atom
Crystal system   hexagonal
Size of the total moment   0.0 μB/cell
Distance to the lowest polymorph of the same formula   0.000 eV/atom

Cell lengths 3.8348, 4.1200, 4.1200 Å; angles 120.00, 90.00, 90.00 degrees
Closest atoms and distances in Å follow each position.
Positions (direct):
1 P 0.1667 0.3333 0.6667  3 Re 2.38
2 Re 0.1667 0.0000 0.0000  3 P 2.38
3 Ho 0.6667 0.6667 0.3333  6 Re 3.06, 6 P 3.06

***

3.
DFT (PBE) results for an optimized crystal structure of LiTcGe2.

## Properties
Energy of formation   -151 meV/atom
Electronic total energy   -5.530 eV/atom
Crystal system   trigonal
Size of the total moment   0.0 μB/cell
Distance to the lowest polymorph of the same formula   0.031 eV/atom

Cell lengths 3.0449, 3.0432, 8.3349 Å; angles 100.53, 90.00, 120.02 degrees
Closest atoms and distances in Å follow each position.
Positions (direct):
1 Ge 0.7558 0.5115 0.7677  3 Tc 2.58, 3 Li 2.80
2 Ge 0.2442 0.4885 0.2323  3 Tc 2.58, 3 Li 2.80
3 Li 0.0000 0.0000 0.5000  6 Ge 2.80, 6 Li 3.04
4 Tc 0.5000 0.0000 0.0000  6 Ge 2.58